TbBeAl3Ag | PBE-GGA | relaxed

Unit cell a=6.095 b=5.979 c=6.772 alpha=116.20 beta=90.00 gamma=90.00
Fractional coordinates of all 12 atoms:
Tb1 0.750 0.284 0.568
Tb2 0.250 0.716 0.432
Be1 0.250 0.935 0.869
Be2 0.750 0.065 0.131
Al1 0.250 0.133 0.266
Al2 0.000 0.278 0.000
Al3 0.500 0.722 0.000
Al4 0.500 0.278 0.000
Al5 0.000 0.722 0.000
Al6 0.750 0.867 0.734
Ag1 0.250 0.346 0.693
Ag2 0.750 0.654 0.307

Results
Formation energy from the elements (eV per atom): -0.010
Crystal system: orthorhombic
Space-group type: Cmcm
Spin magnetization (μB per formula unit): 0.000

***

BeAlAg2Te4 | PBE-GGA | relaxed

Unit cell a=6.280 b=6.281 c=7.384 alpha=115.16 beta=115.16 gamma=90.00
Fractional coordinates of all 8 atoms:
Be1 0.986 0.486 0.972
Al1 0.736 0.736 0.472
Ag1 0.486 0.986 0.972
Ag2 0.236 0.236 0.472
Te1 0.649 0.603 0.736
Te2 0.868 0.385 0.208
Te3 0.340 0.823 0.208
Te4 0.087 0.132 0.736

Results
E_tot (eV/atom): -3.453
Crystal system: tetragonal
Space-group type: I-4
Spin magnetization (μB per formula unit): 0.000

***

Be2AlAgW | PBE-GGA | relaxed

Unit cell a=4.388 b=5.043 c=4.388 alpha=90.00 beta=90.00 gamma=90.00
Fractional coordinates of all 5 atoms:
Be1 0.000 0.000 0.500
Be2 0.500 0.000 0.000
Ag1 0.000 0.500 0.000
W1 0.000 0.000 0.000
Al1 0.500 0.500 0.500

Results
Formation energy from the elements (eV per atom): 1.594
Crystal system: tetragonal
Space-group type: P4/mmm
Spin magnetization (μB per formula unit): 0.000

***

YBeAl3Ag | PBE-GGA | relaxed

Unit cell a=6.097 b=5.970 c=6.771 alpha=116.16 beta=90.00 gamma=90.00
Fractional coordinates of all 12 atoms:
Y1 0.750 0.284 0.569
Y2 0.250 0.716 0.431
Be1 0.250 0.934 0.869
Be2 0.750 0.066 0.131
Al1 0.250 0.133 0.266
Al2 0.000 0.278 0.000
Al3 0.500 0.722 0.000
Al4 0.500 0.278 0.000
Al5 0.000 0.722 0.000
Al6 0.750 0.867 0.734
Ag1 0.250 0.346 0.692
Ag2 0.750 0.654 0.308

Results
Formation energy from the elements (eV per atom): -0.012
Crystal system: orthorhombic
Space-group type: Cmcm
Spin magnetization (μB per formula unit): 0.000

***

YBeAlAg2 | PBE-GGA | relaxed

Unit cell a=4.580 b=4.488 c=4.580 alpha=90.00 beta=90.00 gamma=90.00
Fractional coordinates of all 5 atoms:
Y1 0.500 0.500 0.500
Be1 0.000 0.000 0.000
Al1 0.000 0.500 0.000
Ag1 0.000 0.000 0.500
Ag2 0.500 0.000 0.000

Results
Formation energy from the elements (eV per atom): -0.032
Crystal system: tetragonal
Space-group type: P4/mmm
Spin magnetization (μB per formula unit): 0.000

***

Al2AgBi | PBE-GGA | relaxed

Unit cell a=4.805 b=4.805 c=9.203 alpha=74.87 beta=74.87 gamma=90.00
Fractional coordinates of all 8 atoms:
Bi1 0.000 0.000 0.000
Bi2 0.750 0.250 0.500
Ag1 0.500 0.500 0.000
Ag2 0.250 0.750 0.500
Al1 0.527 0.125 0.250
Al2 0.223 0.625 0.250
Al3 0.375 0.473 0.750
Al4 0.875 0.777 0.750

Results
Formation energy from the elements (eV per atom): 0.170
Crystal system: tetragonal
Space-group type: I-42d
Spin magnetization (μB per formula unit): 0.000

***

Al2AgBi | PBE-GGA | relaxed

Unit cell a=4.380 b=4.380 c=6.063 alpha=68.82 beta=68.82 gamma=60.00
Fractional coordinates of all 4 atoms:
Al1 0.056 0.056 0.833
Al2 0.275 0.275 0.175
Ag1 0.674 0.674 0.978
Bi1 0.495 0.495 0.514

Results
Formation energy from the elements (eV per atom): 0.161
Crystal system: trigonal
Space-group type: R3m
Spin magnetization (μB per formula unit): 0.000

***

Al2Ag2Bi | PBE-GGA | relaxed

Unit cell a=8.348 b=8.348 c=2.936 alpha=90.00 beta=90.00 gamma=90.00
Fractional coordinates of all 10 atoms:
Bi1 0.000 0.000 0.000
Bi2 0.500 0.500 0.000
Ag1 0.172 0.672 0.500
Ag2 0.672 0.828 0.500
Ag3 0.828 0.328 0.500
Ag4 0.328 0.172 0.500
Al1 0.377 0.877 0.000
Al2 0.877 0.623 0.000
Al3 0.623 0.123 0.000
Al4 0.123 0.377 0.000

Results
Formation energy from the elements (eV per atom): 0.138
Crystal system: tetragonal
Space-group type: P4/mbm
Spin magnetization (μB per formula unit): 0.000

***

Al3Ag3Bi | PBE-GGA | relaxed

Unit cell a=7.126 b=7.126 c=7.126 alpha=90.00 beta=90.00 gamma=90.00
Fractional coordinates of all 14 atoms:
Bi1 0.500 0.500 0.500
Bi2 0.000 0.000 0.000
Ag1 0.250 0.000 0.500
Ag2 0.000 0.500 0.250
Ag3 0.500 0.750 0.000
Ag4 0.750 0.000 0.500
Ag5 0.000 0.500 0.750
Ag6 0.500 0.250 0.000
Al1 0.000 0.250 0.500
Al2 0.000 0.750 0.500
Al3 0.500 0.000 0.750
Al4 0.750 0.500 0.000
Al5 0.500 0.000 0.250
Al6 0.250 0.500 0.000

Results
Formation energy from the elements (eV per atom): 0.540
Crystal system: cubic
Space-group type: Pm-3n
Spin magnetization (μB per formula unit): 0.000

***

Al2Ag2Bi | PBE-GGA | relaxed

Unit cell a=4.236 b=4.236 c=6.603 alpha=71.29 beta=71.29 gamma=90.00
Fractional coordinates of all 5 atoms:
Bi1 0.000 0.000 0.000
Ag1 0.750 0.250 0.500
Ag2 0.250 0.750 0.500
Al1 0.392 0.392 0.217
Al2 0.608 0.608 0.783

Results
Formation energy from the elements (eV per atom): 0.133
Crystal system: tetragonal
Space-group type: I4/mmm
Spin magnetization (μB per formula unit): 0.000

***

Al2Ag2Bi | PBE-GGA | relaxed

Unit cell a=8.039 b=8.039 c=3.172 alpha=90.00 beta=90.00 gamma=90.00
Fractional coordinates of all 10 atoms:
Bi1 0.000 0.000 0.000
Bi2 0.500 0.500 0.000
Ag1 0.370 0.870 0.000
Ag2 0.870 0.630 0.000
Ag3 0.630 0.130 0.000
Ag4 0.130 0.370 0.000
Al1 0.163 0.663 0.500
Al2 0.663 0.837 0.500
Al3 0.837 0.337 0.500
Al4 0.337 0.163 0.500

Results
Formation energy from the elements (eV per atom): 0.125
Crystal system: tetragonal
Space-group type: P4/mbm
Spin magnetization (μB per formula unit): 0.000

***

Al2Ag2Bi | PBE-GGA | relaxed

Unit cell a=4.071 b=4.071 c=6.933 alpha=72.93 beta=72.93 gamma=90.00
Fractional coordinates of all 5 atoms:
Bi1 0.000 0.000 0.000
Ag1 0.387 0.387 0.226
Ag2 0.613 0.613 0.774
Al1 0.750 0.250 0.500
Al2 0.250 0.750 0.500

Results
Formation energy from the elements (eV per atom): 0.072
Crystal system: tetragonal
Space-group type: I4/mmm
Spin magnetization (μB per formula unit): 0.000

***

Q: spin magnetization of number 8 (Al2Ag2Bi)?
A: 0.000 μB per formula unit